Record 1
DFT (PBE-GGA) results for a relaxed NaLiY2 crystal.

Properties
The value obtained for the energy of formation from the pure elements is 47 kJ per mole of atoms. Its space-group type is No. 122.

POSCAR file:
```
NaLiY2
1.0
8.5482 0.0000 0.0000
0.0000 8.5482 0.0000
4.2741 4.2741 3.2193
Y Na Li
4 2 2
Direct
0.6051 0.1250 0.2500
0.1449 0.6250 0.2500
0.3750 0.3949 0.7500
0.8750 0.8551 0.7500
0.0000 0.0000 0.0000
0.7500 0.2500 0.5000
0.5000 0.5000 0.0000
0.2500 0.7500 0.5000
```

Record 2
DFT (PBE-GGA) results for a relaxed PuNpAu2 crystal.

Properties
The value obtained for the energy of formation from the pure elements is 2 kJ per mole of atoms. Its space-group type is No. 166.

POSCAR file:
```
PuNpAu2
1.0
3.7126 0.0000 0.0000
1.8563 3.2152 0.0000
1.8563 1.0717 8.5982
Np Au Pu
1 2 1
Direct
0.0000 0.0000 0.0000
0.7491 0.7491 0.7526
0.2509 0.2509 0.2474
0.5000 0.5000 0.5000
```

Record 3
DFT (PBE-GGA) results for a relaxed CuTc crystal.

Properties
The value obtained for the energy of formation from the pure elements is 88 kJ per mole of atoms. Its space-group type is No. 136.

POSCAR file:
```
CuTc
1.0
4.9044 0.0000 0.0000
0.0000 4.9044 0.0000
0.0000 0.0000 5.0080
Cu Tc
4 4
Direct
0.1714 0.8286 0.0000
0.6714 0.6714 0.5000
0.3286 0.3286 0.5000
0.8286 0.1714 0.0000
0.3339 0.3339 0.0000
0.8339 0.1661 0.5000
0.1661 0.8339 0.5000
0.6661 0.6661 0.0000
```

Record 4
DFT (PBE-GGA) results for a relaxed PmTiBe17 crystal.

Properties
The value obtained for the energy of formation from the pure elements is -11 kJ per mole of atoms. Its space-group type is No. 160.

POSCAR file:
```
PmTiBe17
1.0
5.6911 0.0126 0.6855
0.6094 5.6584 0.6855
0.0139 0.0126 5.7322
Pm Ti Be
1 1 17
Direct
0.6604 0.6604 0.6604
0.3331 0.3331 0.3331
0.2825 0.0045 0.7126
0.7126 0.2825 0.0045
0.0045 0.7126 0.2825
0.2825 0.7126 0.0045
0.0045 0.2825 0.7126
0.7126 0.0045 0.2825
0.3371 0.8476 0.3371
0.3371 0.3371 0.8476
0.8476 0.3371 0.3371
0.6553 0.1604 0.6553
0.6553 0.6553 0.1604
0.1604 0.6553 0.6553
0.0041 0.4976 0.0041
0.0041 0.0041 0.4976
0.4976 0.0041 0.0041
0.9081 0.9081 0.9081
0.1004 0.1004 0.1004
```

Record 5
DFT (PBE-GGA) results for a relaxed KCoAs2Br crystal.

Properties
Its space-group type is No. 123. For the raw formation energy, the calculation gives 1.58 eV per atom.

POSCAR file:
```
KCoAs2Br
1.0
5.7699 0.0000 0.0000
0.0000 5.7699 0.0000
0.0000 0.0000 5.7009
As Co K Br
2 1 1 1
Direct
0.0000 0.5000 0.0000
0.5000 0.0000 0.0000
0.5000 0.5000 0.5000
0.0000 0.0000 0.0000
0.0000 0.0000 0.5000
```

Record 6
DFT (PBE-GGA) results for a relaxed CeLuH crystal.

Properties
Its space-group type is No. 107. Its raw total energy is -4.6347 eV/atom.

POSCAR file:
```
CeLuH
1.0
-2.6504 -2.0207 0.2557
2.0256 -2.6589 -0.0171
0.6913 2.5905 5.7897
H Lu Ce
1 1 1
Direct
0.5008 0.5008 0.0016
0.3178 0.3178 0.6356
0.0314 0.0314 0.0628
```

Record 7
DFT (PBE-GGA) results for a relaxed Nd2Cd5Ag3 crystal.

Properties
The value obtained for the energy of formation from the pure elements is -18 kJ per mole of atoms. Its space-group type is No. 72.

POSCAR file:
```
Nd2Cd5Ag3
1.0
-4.1242 2.6734 3.5544
1.1467 -3.1039 8.8402
3.3700 8.3621 2.7960
Nd Cd Ag
4 10 6
Direct
0.1280 0.6123 0.1317
0.6280 0.1317 0.6123
0.8720 0.3877 0.8683
0.3720 0.8683 0.3877
0.3853 0.2609 0.9684
0.8853 0.9684 0.2609
0.6147 0.7391 0.0316
0.1147 0.0316 0.7391
0.4974 0.7526 0.7526
0.5026 0.2474 0.2474
0.7500 0.5000 0.5000
0.2500 0.5000 0.5000
0.0026 0.2474 0.2474
0.9974 0.7526 0.7526
0.3735 0.4805 0.7725
0.8735 0.7725 0.4805
0.6265 0.5195 0.2275
0.1265 0.2275 0.5195
0.2500 0.0000 0.0000
0.7500 0.0000 0.0000
```

Record 8
DFT (PBE-GGA) results for a relaxed ZnInTc2 crystal.

Properties
The value obtained for the energy of formation from the pure elements is 6 kJ per mole of atoms. Its space-group type is No. 99.

POSCAR file:
```
ZnInTc2
1.0
-2.4086 1.8534 -0.3736
-1.8770 -2.4167 0.1116
-0.5167 0.7202 6.9032
Zn Tc In
1 2 1
Direct
0.0000 0.0000 0.4668
0.0000 0.0000 0.0324
0.5000 0.5000 0.2447
0.5000 0.5000 0.7561
```

Record 9
DFT (PBE-GGA) results for a relaxed CsCd2P crystal.

Properties
The value obtained for the energy of formation from the pure elements is 0 kJ per mole of atoms. Its space-group type is No. 141.

POSCAR file:
```
CsCd2P
1.0
-0.2346 5.6726 1.3648
1.3595 -1.2752 5.5337
9.3106 3.0313 1.4920
Cs P Cd
2 2 4
Direct
0.0000 0.0000 0.0000
0.7500 0.2500 0.5000
0.5000 0.5000 0.0000
0.2500 0.7500 0.5000
0.3747 0.1250 0.2500
0.3753 0.6250 0.2500
0.3750 0.6253 0.7500
0.8750 0.6247 0.7500
```

Record 10
DFT (PBE-GGA) results for a relaxed Nb3ZnAs crystal.

Properties
The value obtained for the energy of formation from the pure elements is 71 kJ per mole of atoms. Its space-group type is No. 221.

POSCAR file:
```
Nb3ZnAs
1.0
4.7617 0.0000 0.0000
0.0000 4.7617 0.0000
0.0000 0.0000 4.7617
Zn Nb As
1 3 1
Direct
0.5000 0.5000 0.5000
0.0000 0.5000 0.0000
0.0000 0.0000 0.5000
0.5000 0.0000 0.0000
0.0000 0.0000 0.0000
```

Record 11
DFT (PBE-GGA) results for a relaxed InNiSe2 crystal.

Properties
Its space-group type is No. 166. For the raw formation energy, the calculation gives -0.05 eV per atom.

POSCAR file:
```
InNiSe2
1.0
6.0249 3.2551 3.8212
7.7119 0.5194 1.3241
6.6351 4.1788 -0.0954
Ni Se In
1 2 1
Direct
0.0000 0.0000 0.0000
0.9003 0.9003 0.9003
0.0997 0.0997 0.0997
0.5000 0.5000 0.5000
```

Record 12
DFT (PBE-GGA) results for a relaxed Pr3CoHgCl crystal.

Properties
Its space-group type is No. 11. For the raw formation energy, the calculation gives -0.54 eV per atom.

POSCAR file:
```
Pr3CoHgCl
1.0
-4.5047 -0.7618 -1.1880
2.0538 -6.3066 -3.7433
-1.7098 -3.4488 8.6947
Pr Co Hg Cl
6 2 2 2
Direct
0.2500 0.7025 0.4267
0.7500 0.8933 0.1134
0.7500 0.4358 0.1344
0.7500 0.2975 0.5733
0.2500 0.5642 0.8656
0.2500 0.1067 0.8866
0.2500 0.6740 0.1425
0.7500 0.3260 0.8575
0.7500 0.7543 0.7252
0.2500 0.2457 0.2748
0.2500 0.0904 0.5895
0.7500 0.9096 0.4105
```

Record 13
DFT (PBE-GGA) results for a relaxed SiB2C crystal.

Properties
Its space-group type is No. 8. For the raw formation energy, the calculation gives 0.26 eV per atom.

POSCAR file:
```
SiB2C
1.0
-0.3474 2.4347 3.9259
-0.1234 -2.5990 1.6009
4.9689 -1.2091 -1.5799
Si B C
2 4 2
Direct
0.1063 0.0000 0.0288
0.1063 0.5000 0.5288
0.6391 0.0000 0.7205
0.6391 0.5000 0.2205
0.6314 0.0000 0.0492
0.6314 0.5000 0.5492
0.2802 0.0000 0.7516
0.2802 0.5000 0.2516
```

Record 14
DFT (PBE-GGA) results for a relaxed LiInPb crystal.

Properties
The value obtained for the energy of formation from the pure elements is -8 kJ per mole of atoms. Its space-group type is No. 67.

POSCAR file:
```
LiInPb
1.0
4.7937 -3.3150 0.0000
4.7937 3.3150 0.0000
0.0000 0.0000 4.7872
Pb Li In
2 2 2
Direct
0.7500 0.2500 0.4978
0.2500 0.7500 0.5022
0.2500 0.2500 0.5000
0.7500 0.7500 0.5000
0.0000 0.5000 0.0000
0.5000 0.0000 0.0000
```

Record 15
DFT (PBE-GGA) results for a relaxed Cs3CaEr2Se6 crystal.

Properties
Its space-group type is No. 12. For the raw formation energy, the calculation gives -1.57 eV per atom.

POSCAR file:
```
Cs3CaEr2Se6
1.0
7.4223 -0.0015 0.0004
-3.7106 6.4282 0.0004
-1.2377 -2.1430 8.3632
Cs Ca Er Se
3 1 2 6
Direct
0.1631 0.8369 0.5000
0.8369 0.1631 0.5000
0.5000 0.5000 0.5000
0.0000 0.0000 0.0000
0.3330 0.6670 0.0000
0.6670 0.3330 0.0000
0.9380 0.5919 0.8141
0.7156 0.7156 0.1841
0.0620 0.4081 0.1859
0.5919 0.9380 0.8141
0.2844 0.2844 0.8159
0.4081 0.0620 0.1859
```

Record 16
DFT (PBE-GGA) results for a relaxed NaLi4Ge5 crystal.

Properties
The value obtained for the energy of formation from the pure elements is -22 kJ per mole of atoms. Its space-group type is No. 123.

POSCAR file:
```
NaLi4Ge5
1.0
-2.3753 -0.7258 1.2463
-0.4462 -1.9137 -1.9650
10.6265 -14.5646 11.7715
Na Li Ge
1 4 5
Direct
0.0000 0.0000 0.0000
0.0000 0.0000 0.2093
0.0000 0.0000 0.4033
0.0000 0.0000 0.5967
0.0000 0.0000 0.7907
0.5000 0.5000 0.1141
0.5000 0.5000 0.3064
0.5000 0.5000 0.5000
0.5000 0.5000 0.6936
0.5000 0.5000 0.8859
```

Record 17
DFT (PBE-GGA) results for a relaxed Rb2UNiS4 crystal.

Properties
Its space-group type is No. 82. For the raw formation energy, the calculation gives -0.87 eV per atom.

POSCAR file:
```
Rb2UNiS4
1.0
-5.9762 1.8542 2.5267
1.9499 -6.1538 1.9661
5.1244 3.8289 2.1488
Rb U Ni S
2 1 1 4
Direct
0.5000 0.7500 0.2500
0.0000 0.0000 0.0000
0.5000 0.2500 0.7500
0.0000 0.5000 0.5000
0.6096 0.3416 0.4473
0.1057 0.2680 0.6584
0.8943 0.5527 0.1623
0.3904 0.8377 0.7320
```

Record 18
DFT (PBE-GGA) results for a relaxed Mn2CdFeH crystal.

Properties
Its space-group type is No. 8. Its raw total energy is -5.9481 eV/atom.

POSCAR file:
```
Mn2CdFeH
1.0
2.7190 -0.0086 0.0023
-1.3448 4.5392 0.0453
-0.0079 -0.9783 4.8294
Mn Cd Fe H
2 1 1 1
Direct
0.3579 0.6835 0.9102
0.8908 0.7501 0.5061
0.1194 0.2069 0.1950
0.6224 0.2130 0.6982
0.3651 0.6988 0.2864
```

Record 19
DFT (PBE-GGA) results for a relaxed ReNi2N3 crystal.

Properties
Its space-group type is No. 15. For the raw formation energy, the calculation gives 0.26 eV per atom.

POSCAR file:
```
ReNi2N3
1.0
3.9108 3.1041 0.0015
-3.9108 3.1041 0.0015
0.0000 1.7499 13.3859
Re Ni N
4 8 12
Direct
0.6766 0.7813 0.3253
0.2187 0.3234 0.1747
0.3234 0.2187 0.6747
0.7813 0.6766 0.8253
0.3516 0.7886 0.0315
0.2114 0.6484 0.4685
0.6484 0.2114 0.9685
0.7886 0.3516 0.5315
0.3273 0.1616 0.4895
0.8384 0.6727 0.0105
0.6727 0.8384 0.5105
0.1616 0.3273 0.9895
0.4729 0.5271 0.2500
0.5271 0.4729 0.7500
0.4367 0.9605 0.3930
0.0395 0.5633 0.1070
0.5633 0.0395 0.6070
0.9605 0.4367 0.8930
0.6382 0.8609 0.9269
0.1391 0.3618 0.5731
0.3618 0.1391 0.0731
0.8609 0.6382 0.4269
0.9541 0.0459 0.2500
0.0459 0.9541 0.7500
```

Record 20
DFT (PBE-GGA) results for a relaxed Zr2TlGaAg crystal.

Properties
The value obtained for the energy of formation from the pure elements is 111 kJ per mole of atoms. Its space-group type is No. 123.

POSCAR file:
```
Zr2TlGaAg
1.0
-2.8397 1.7780 -4.2702
3.7411 -1.0763 -2.9360
-2.0132 -4.9863 -0.7373
Tl Ga Zr Ag
1 1 2 1
Direct
0.0000 0.0000 0.0000
0.0000 0.5000 0.0000
0.0000 0.0000 0.5000
0.5000 0.0000 0.0000
0.5000 0.5000 0.5000
```

Record 21
DFT (PBE-GGA) results for a relaxed La5Nd2Y crystal.

Properties
The value obtained for the energy of formation from the pure elements is 10 kJ per mole of atoms. Its space-group type is No. 63.

POSCAR file:
```
La5Nd2Y
1.0
-2.5631 -1.7108 4.8631
1.0146 -4.8486 -4.5788
14.9775 -3.2432 6.7531
La Nd Y
10 4 2
Direct
0.9242 0.8483 0.9069
0.9242 0.8483 0.5931
0.3853 0.7706 0.4475
0.3853 0.7706 0.0525
0.5350 0.0701 0.2500
0.4650 0.9299 0.7500
0.6147 0.2294 0.5525
0.6147 0.2294 0.9475
0.0758 0.1517 0.0931
0.0758 0.1517 0.4069
0.7750 0.5501 0.3668
0.7750 0.5501 0.1332
0.2250 0.4499 0.6332
0.2250 0.4499 0.8668
0.7475 0.4949 0.7500
0.2525 0.5051 0.2500
```

Record 22
DFT (PBE-GGA) results for a relaxed BaCu2Te crystal.

Properties
Its space-group type is No. 35. For the raw formation energy, the calculation gives -0.04 eV per atom.

POSCAR file:
```
BaCu2Te
1.0
-1.1250 0.2057 -3.7283
-2.9436 -1.7906 1.8269
-3.0855 6.3816 1.2831
Ba Cu Te
1 2 1
Direct
0.5000 0.5000 0.7521
0.0000 0.0000 0.0816
0.5000 0.5000 0.2310
0.0000 0.0000 0.4353
```

Record 23
DFT (PBE-GGA) results for a relaxed Ac3Mn2ZnN6 crystal.

Properties
Its space-group type is No. 164. For the raw formation energy, the calculation gives -0.64 eV per atom.

POSCAR file:
```
Ac3Mn2ZnN6
1.0
5.8138 0.0000 0.0000
-2.9069 5.0349 0.0000
0.0000 0.0000 6.7992
Ac Mn Zn N
3 2 1 6
Direct
0.3333 0.6667 0.6695
0.6667 0.3333 0.3305
0.0000 0.0000 0.0000
0.6667 0.3333 0.7742
0.3333 0.6667 0.2258
0.0000 0.0000 0.5000
0.6624 0.8312 0.2939
0.1688 0.3376 0.2939
0.1688 0.8312 0.2939
0.8312 0.6624 0.7061
0.3376 0.1688 0.7061
0.8312 0.1688 0.7061
```

no.,magnetic moment (μB/atom)
1,0.1796
2,0.3337
3,0.0001
4,0.0000
5,1.0096
6,0.3224
7,0.0000
8,0.0000
9,0.0000
10,0.0000
11,0.2500
12,0.0000
13,0.0000
14,0.0000
15,0.0000
16,0.0000
17,0.2447
18,0.6129
19,0.0000
20,0.0000
21,0.0000
22,0.0000
23,0.2494